Arrangement a

# Ba2OsRh

Ba2OsRh after structural relaxation (PBE-GGA, Alexandria via LeMat-Bulk).

Its mass density is 6.4 g/cm³. As for the density of states at the Fermi level: 1.236 states/eV/atom. As for the space group: Cm.

a = 4.3708 Å, b = 4.3708 Å, c = 9.1552 Å
α = 103.29°, β = 103.29°, γ = 60.55°
Sites, in units of the cell vectors:
Ba: 0.0000 0.0000 0.0000
Ba: 0.1614 0.1614 0.5000
Os: 0.3980 0.3980 0.2495
Rh: 0.7568 0.7568 0.2504

Arrangement b

# Ba2OsRh

Ba2OsRh after structural relaxation (PBE-GGA, Alexandria via LeMat-Bulk).

Its mass density is 8.7 g/cm³. As for the density of states at the Fermi level: 1.664 states/eV/atom. As for the space group: Fm-3m.

a = 5.3421 Å, b = 5.3421 Å, c = 5.3421 Å
α = 60.00°, β = 60.00°, γ = 60.00°
Sites, in units of the cell vectors:
Ba: 0.2500 0.2500 0.2500
Ba: 0.7500 0.7500 0.7500
Os: 0.0000 0.0000 0.0000
Rh: 0.5000 0.5000 0.5000

Arrangement c

# Ba2OsRh

Ba2OsRh after structural relaxation (PBE-GGA, Alexandria via LeMat-Bulk).

Its mass density is 7.5 g/cm³. As for the density of states at the Fermi level: 0.891 states/eV/atom. As for the space group: Amm2.

a = 4.4399 Å, b = 6.1983 Å, c = 6.1983 Å
α = 47.83°, β = 90.00°, γ = 90.00°
Sites, in units of the cell vectors:
Ba: 0.0000 0.0000 0.0000
Ba: 0.5000 0.2888 0.2888
Os: 0.0000 0.6848 0.6848
Rh: 0.5000 0.6025 0.6025

Arrangement d

# Ba2OsRh

Ba2OsRh after structural relaxation (PBE-GGA, Alexandria via LeMat-Bulk).

Its mass density is 8.8 g/cm³. As for the density of states at the Fermi level: 1.046 states/eV/atom. As for the space group: R-3m.

a = 9.6246 Å, b = 9.6246 Å, c = 9.6246 Å
α = 21.73°, β = 21.73°, γ = 21.73°
Sites, in units of the cell vectors:
Ba: 0.2490 0.2490 0.2490
Ba: 0.7510 0.7510 0.7510
Os: 0.0000 0.0000 0.0000
Rh: 0.5000 0.5000 0.5000

Short version: arrangement d is the least stable of them.